# LaMoC (PBE, relaxed)
data_LaMoC
_chemical_formula_sum 'La1 Mo1 C1'
_symmetry_space_group_name_H-M 'P -6 m 2'
_symmetry_Int_Tables_number 187
_symmetry_space_group_name_Hall 'P -6 2'
_cell_length_a 3.6768
_cell_length_b 3.6768
_cell_length_c 4.6013
_cell_angle_alpha 90.00
_cell_angle_beta 90.00
_cell_angle_gamma 120.00
loop_
_atom_site_label
_atom_site_type_symbol
_atom_site_fract_x
_atom_site_fract_y
_atom_site_fract_z
La1 La 0.0000 0.0000 0.0000
Mo1 Mo 0.3333 0.6667 0.5000
C1 C 0.6667 0.3333 0.5000
# total energy: -0.2963 hartree per atom
# density: 7.61 g/cm3